# ZnFe2HgSb

An optimized crystal structure of ZnFe2HgSb (GGA-PBE, the Alexandria database).

Output
Uncorrected energy ... -3.156 eV/atom
Space group ... P4/mmm, No. 123
D(E_F) ... 10.084 states/eV/cell

Cell: 4.932 4.932 5.554 Å, 90.00 90.00 90.00°
Fractional coordinates of all 5 atoms:
1 Zn 0.000 0.000 0.000
2 Fe 0.000 0.500 0.500
3 Fe 0.500 0.000 0.500
4 Hg 0.500 0.500 0.500
5 Sb 0.500 0.500 0.000